(1)
Entry from the Alexandria database: a relaxed ReTe2MoN crystal (GGA-PBEsol).

Results
Energy above the lowest structure with this stoichiometry (meV/atom): 267
Formation energy from raw total energies (eV per atom): 1.099

Cell lengths 5.286, 5.286, 3.685 Å; angles 90.00, 90.00, 90.00 degrees
Space group P4/mmm (No. 123)
Inequivalent atoms, fractional coordinates:
Re: 0.000 0.000 0.000 x1
Te: 0.000 0.500 0.500 x2
Mo: 0.500 0.500 0.500 x1
N: 0.500 0.500 0.000 x1

---

(2)
Entry from the Alexandria database: a relaxed RbCo3Ir crystal (GGA-PBEsol).

Results
Calculated formation energy (kJ/mol of formula units): 1365.8

Cell lengths 4.291, 4.291, 4.291 Å; angles 90.00, 90.00, 90.00 degrees
Space group Pm-3m (No. 221)
Inequivalent atoms, fractional coordinates:
Rb: 0.000 0.000 0.000 x1
Co: 0.000 0.000 0.500 x3
Ir: 0.500 0.500 0.500 x1

---

(3)
Entry from the Alexandria database: a relaxed CuBr crystal (GGA-PBEsol).

Results
Formation energy from raw total energies (eV per atom): -0.156

Cell lengths 3.7597, 3.7597, 20.2395 Å; angles 90.00, 90.00, 120.00 degrees
Space group R-3m (No. 166, hexagonal axes)
Inequivalent atoms, fractional coordinates:
Cu: 0.0000 0.0000 0.1312 x6
Br: 0.0000 0.0000 0.4113 x6

---

(4)
Entry from the Alexandria database: a relaxed HgPb2 crystal (GGA-PBEsol).

Results
Energy above the lowest structure with this stoichiometry (meV/atom): 29
Calculated formation energy (kJ/mol of formula units): 7.8

Cell lengths 8.0888, 8.0888, 4.4276 Å; angles 90.00, 90.00, 120.00 degrees
Space group P-62m (No. 189)
Inequivalent atoms, fractional coordinates:
Hg: 0.0000 0.0000 0.0000 x1
Hg: 0.3333 0.6667 0.5000 x2
Pb: 0.0000 0.4016 0.0000 x3
Pb: 0.0000 0.7376 0.5000 x3

---

Number 1: theoretical density 8.892 g/cm³. Number 2: theoretical density 9.550 g/cm³. Number 3: theoretical density 5.768 g/cm³. Number 4: theoretical density 12.211 g/cm³.